EuNbCrSnO6, relaxed, DFT PBE+U; space group = No. 216; final energy = -0.307 hartree per atom; calculated density = 6.63 Mg/m³
1.0
0.000 4.002 4.002
4.002 0.000 4.002
4.002 4.002 0.000
O Eu Sn Nb Cr
6 1 1 1 1
Direct
0.751 0.249 0.249
0.249 0.249 0.751
0.249 0.751 0.751
0.751 0.751 0.249
0.249 0.751 0.249
0.751 0.249 0.751
0.250 0.250 0.250
0.750 0.750 0.750
0.500 0.500 0.500
0.000 0.000 0.000